1.
A plane-wave DFT calculation with PBE was carried out for an optimized crystal structure of Y2Nb4H. Values from VASP.

The calculation puts the total magnetic moment at 0.000 μB/atom. The total energy comes out at -0.5764 Ry per atom. The density of states at the Fermi level comes out at 1.003 states/eV per atom.

Cell and atoms, written as Quantum ESPRESSO input:
```
&SYSTEM
  ibrav = 0, nat = 7, ntyp = 3
/
ATOMIC_SPECIES
Y 88.91 Y.upf
Nb 92.91 Nb.upf
H 1.01 H.upf
CELL_PARAMETERS angstrom
-2.1100 2.1100 8.1953
2.1100 -2.1100 8.1953
2.1100 2.1100 -8.1953
ATOMIC_POSITIONS angstrom
Y 0.0000 0.0000 2.8295
Y 0.0000 0.0000 13.5611
Nb 2.1100 0.0000 0.0000
Nb 0.0000 0.0000 6.2924
Nb 0.0000 2.1100 0.0000
Nb 0.0000 0.0000 10.0981
H 0.0000 0.0000 8.1953
```

---

2.
A plane-wave DFT calculation with PBE was carried out for an optimized crystal structure of HoErAgIr. Values from VASP.

The calculation puts the total magnetic moment at 0.000 μB/atom. The total energy comes out at -0.4294 Ry per atom. The density of states at the Fermi level comes out at 0.744 states/eV per atom. As for the calculated formation energy: -0.630 eV/atom.

Cell and atoms, written as Quantum ESPRESSO input:
```
&SYSTEM
  ibrav = 0, nat = 4, ntyp = 4
/
ATOMIC_SPECIES
Ho 164.93 Ho.upf
Er 167.26 Er.upf
Ag 107.87 Ag.upf
Ir 192.22 Ir.upf
CELL_PARAMETERS angstrom
0.0000 3.4928 3.4928
3.4928 0.0000 3.4928
3.4928 3.4928 0.0000
ATOMIC_POSITIONS angstrom
Ho 0.0000 0.0000 0.0000
Er 3.4928 3.4928 3.4928
Ag 5.2392 5.2392 5.2392
Ir 1.7464 1.7464 1.7464
```

---

3.
A plane-wave DFT calculation with PBE was carried out for an optimized crystal structure of Ta5Al. Values from VASP.

The calculation puts the total magnetic moment at 0.000 μB/atom. The total energy comes out at -0.7653 Ry per atom. The density of states at the Fermi level comes out at 0.985 states/eV per atom. As for the calculated formation energy: 0.089 eV/atom.

Cell and atoms, written as Quantum ESPRESSO input:
```
&SYSTEM
  ibrav = 0, nat = 6, ntyp = 2
/
ATOMIC_SPECIES
Ta 180.95 Ta.upf
Al 26.98 Al.upf
CELL_PARAMETERS angstrom
4.8233 0.0000 0.0000
0.0000 1.3908 8.1134
0.0000 -1.3908 8.1134
ATOMIC_POSITIONS angstrom
Ta 0.0000 0.0000 0.0000
Ta 0.0000 0.0000 5.2801
Ta 2.4116 0.0000 3.7333
Ta 2.4116 0.0000 9.2151
Ta 2.4116 0.0000 14.6588
Al 0.0000 0.0000 10.8143
```

---

4.
A plane-wave DFT calculation with PBE was carried out for an optimized crystal structure of NaHo4ThS8. Values from VASP.

The calculation puts the total magnetic moment at 0.000 μB/atom. The total energy comes out at -0.4545 Ry per atom. The density of states at the Fermi level comes out at 0.269 states/eV per atom. The uncorrected formation energy is -2557 kJ/mol of formula units.

Cell and atoms, written as Quantum ESPRESSO input:
```
&SYSTEM
  ibrav = 0, nat = 14, ntyp = 4
/
ATOMIC_SPECIES
Na 22.99 Na.upf
Ho 164.93 Ho.upf
Th 232.04 Th.upf
S 32.06 S.upf
CELL_PARAMETERS angstrom
4.0209 2.3214 6.7153
-4.0209 2.3214 6.7153
0.0000 -4.6429 6.7153
ATOMIC_POSITIONS angstrom
Na 0.0000 0.0000 0.0000
Ho -2.0717 -1.1961 9.2820
Ho 0.0000 0.0000 5.1727
Ho 2.0717 -1.1961 9.2820
Ho 0.0000 2.3922 9.2820
Th 0.0000 0.0000 12.7240
S 0.0000 -2.2065 10.8903
S -1.9108 1.1032 10.8903
S 0.0000 0.0000 7.8130
S -1.8534 -1.0700 14.4432
S 1.9108 1.1032 10.8903
S 0.0000 0.0000 17.4564
S 1.8534 -1.0700 14.4432
S 0.0000 2.1401 14.4432
```

---

5.
A plane-wave DFT calculation with PBE was carried out for an optimized crystal structure of KSiCl4. Values from VASP.

The calculation puts the total magnetic moment at 0.172 μB/atom. The total energy comes out at -0.2527 Ry per atom. The density of states at the Fermi level comes out at 0.469 states/eV per atom. The uncorrected formation energy is -648 kJ/mol of formula units.

Cell and atoms, written as Quantum ESPRESSO input:
```
&SYSTEM
  ibrav = 0, nat = 6, ntyp = 3
/
ATOMIC_SPECIES
K 39.10 K.upf
Si 28.09 Si.upf
Cl 35.45 Cl.upf
CELL_PARAMETERS angstrom
-3.9968 3.9968 3.3660
3.9968 -3.9968 3.3660
3.9968 3.9968 -3.3660
ATOMIC_POSITIONS angstrom
K 0.0000 0.0000 0.0000
Si 3.9968 0.0000 1.6830
Cl 2.8323 1.4616 0.4494
Cl 2.5353 -1.1645 2.9166
Cl 1.4616 5.1613 -0.4494
Cl 1.1645 2.5353 3.8154
```

---

6.
A plane-wave DFT calculation with PBE was carried out for an optimized crystal structure of AlAu. Values from VASP.

The calculation puts the total magnetic moment at 0.000 μB/atom. The total energy comes out at -0.2683 Ry per atom. The density of states at the Fermi level comes out at 0.500 states/eV per atom. As for the calculated formation energy: -0.141 eV/atom.

Cell and atoms, written as Quantum ESPRESSO input:
```
&SYSTEM
  ibrav = 0, nat = 8, ntyp = 2
/
ATOMIC_SPECIES
Al 26.98 Al.upf
Au 196.97 Au.upf
CELL_PARAMETERS angstrom
8.0592 0.0000 0.0000
0.0000 8.0592 0.0000
0.0000 0.0000 2.8945
ATOMIC_POSITIONS angstrom
Al 0.9683 0.9683 0.0000
Al 3.0613 4.9979 1.4472
Al 4.9979 3.0613 1.4472
Al 7.0909 7.0909 0.0000
Au 1.5604 6.4988 0.0000
Au 2.4692 2.4692 1.4472
Au 5.5901 5.5901 1.4472
Au 6.4988 1.5604 0.0000
```

---

Number 2 is which compound?
HoErAgIr